1.
First-principles (GGA-PBE) data for HfScAl3 after structural relaxation, as listed in Alexandria.

Output
- total energy (eV per cell) = -57.622
- excess energy over the best structure of this formula in the dataset (eV/f.u.) = 0.00
- ΔH_f (0 K) (meV/atom) = -260
- magnetic moment (μB per atom) = 0.0000
- space-group type = Cmcm (63)

Unit cell a=5.3691 b=5.0341 c=7.7935 alpha=90.00 beta=110.15 gamma=90.00
Closest atoms and distances in Å follow each position.
Fractional positions:
Hf1 0.5661 0.2500 0.1321  10 Al 2.97-3.13, 2 Hf 3.17, 2 Sc 3.27
Hf2 0.4339 0.7500 0.8679  10 Al 2.97-3.13, 2 Hf 3.17, 2 Sc 3.27
Sc1 0.1943 0.2500 0.3885  8 Al 2.88-3.11
Sc2 0.8057 0.7500 0.6115  8 Al 2.88-3.11
Al1 0.1318 0.2500 0.7417  4 Al 2.57-2.80
Al2 0.6098 0.2500 0.7417  4 Al 2.57-2.80
Al3 0.3902 0.7500 0.2583  4 Al 2.57-2.80
Al4 0.8682 0.7500 0.2583  4 Al 2.57-2.80
Al5 0.0000 0.0000 0.0000  6 Al 2.52-2.67
Al6 0.0000 0.5000 0.0000  6 Al 2.52-2.67


2.
First-principles (GGA-PBE) data for Ac3PbC after structural relaxation, as listed in Alexandria.

Output
- total energy (eV per cell) = -26.336
- ΔH_f (0 K) (meV/atom) = -216
- magnetic moment (μB per atom) = 0.0000
- space-group type = Pm-3m (221)

Unit cell a=5.4809 b=5.4809 c=5.4809 alpha=90.00 beta=90.00 gamma=90.00
Closest atoms and distances in Å follow each position.
Fractional positions:
Pb1 0.5000 0.5000 0.5000  12 Ac 3.88
Ac1 0.0000 0.5000 0.0000  2 C 2.74
Ac2 0.0000 0.0000 0.5000  2 C 2.74
Ac3 0.5000 0.0000 0.0000  2 C 2.74
C1 0.0000 0.0000 0.0000  6 Ac 2.74


3.
First-principles (GGA-PBE) data for KCo2P2 after structural relaxation, as listed in Alexandria.

Output
- total energy (eV per cell) = -27.633
- ΔH_f (0 K) (meV/atom) = -301
- magnetic moment (μB per atom) = 0.0956
- space-group type = P4/mmm (123)

Unit cell a=3.6919 b=3.6919 c=6.5251 alpha=90.00 beta=90.00 gamma=90.00
Closest atoms and distances in Å follow each position.
Fractional positions:
K1 0.0000 0.0000 0.0000  8 P 3.29
Co1 0.5000 0.0000 0.5000  4 P 2.24
Co2 0.0000 0.5000 0.5000  4 P 2.24
P1 0.5000 0.5000 0.6940  4 Co 2.24
P2 0.5000 0.5000 0.3060  4 Co 2.24


4.
First-principles (GGA-PBE) data for Pm12Sm5Ho2 after structural relaxation, as listed in Alexandria.

Output
- total energy (eV per cell) = -86.519
- excess energy over the best structure of this formula in the dataset (eV/f.u.) = 1.03
- ΔH_f (0 K) (meV/atom) = 171
- magnetic moment (μB per atom) = 0.0000
- space-group type = C2/m (12)

Unit cell a=7.1828 b=9.9778 c=10.5058 alpha=70.01 beta=90.00 gamma=111.10
Closest atoms and distances in Å follow each position.
Fractional positions:
Pm1 0.9760 0.9520 0.2432  1 Sm 2.89, 2 Ho 3.14
Pm2 0.0874 0.6796 0.8683  6 Pm 3.45-3.68, 2 Sm 3.61-3.65, 1 Ho 3.73
Pm3 0.5923 0.6796 0.8683  6 Pm 3.45-3.68, 2 Sm 3.61-3.65, 1 Ho 3.73
Pm4 0.0852 0.6678 0.5219  6 Pm 3.32-3.68, 1 Sm 3.51
Pm5 0.5826 0.6678 0.5219  6 Pm 3.32-3.68, 1 Sm 3.51
Pm6 0.5015 0.0030 0.6789  7 Pm 3.45-3.78, 2 Ho 3.72, 1 Sm 3.83
Pm7 0.4985 0.9970 0.3211  7 Pm 3.45-3.78, 2 Ho 3.72, 1 Sm 3.83
Pm8 0.9148 0.3322 0.4781  6 Pm 3.32-3.68, 1 Sm 3.51
Pm9 0.4174 0.3322 0.4781  6 Pm 3.32-3.68, 1 Sm 3.51
Pm10 0.9126 0.3204 0.1317  6 Pm 3.45-3.68, 2 Sm 3.61-3.65, 1 Ho 3.73
Pm11 0.4077 0.3204 0.1317  6 Pm 3.45-3.68, 2 Sm 3.61-3.65, 1 Ho 3.73
Pm12 0.0240 0.0480 0.7568  1 Sm 2.89, 2 Ho 3.14
Sm1 0.1855 0.3710 0.8149  5 Pm 3.28-3.65, 2 Sm 3.61
Sm2 0.3251 0.6503 0.2082  2 Ho 3.57, 2 Sm 3.61, 9 Pm 3.73-3.92
Sm3 0.0000 0.0000 0.5000  2 Pm 2.89
Sm4 0.6749 0.3497 0.7918  2 Ho 3.57, 2 Sm 3.61, 9 Pm 3.73-3.92
Sm5 0.8145 0.6290 0.1851  5 Pm 3.28-3.65, 2 Sm 3.61
Ho1 0.7224 0.0000 0.0000  2 Pm 3.14, 1 Ho 3.20
Ho2 0.2776 0.0000 0.0000  2 Pm 3.14, 1 Ho 3.20